# PmBPdO4

A relaxed PmBPdO4 crystal (PBE, the Alexandria database).

Unit cell a=5.444 b=6.161 c=6.161 alpha=75.44 beta=63.78 gamma=63.78
Each line ends with the local moment (μB).
Element x y z (fractional)
1 B 0.608 0.642 0.142  -0.01
2 Pd 0.500 0.000 0.500  0.11
3 O 0.273 0.250 0.750  0.04
4 O 0.727 0.750 0.250  0.04
5 O 0.712 0.378 0.198  0.26
6 Pd 0.000 0.000 0.500  0.11
7 B 0.392 0.358 0.858  -0.01
8 O 0.272 0.750 0.250  0.04
9 O 0.288 0.622 0.802  0.26
10 Pm 0.000 0.000 0.000  -0.01
11 O 0.712 0.698 0.878  0.26
12 O 0.728 0.250 0.750  0.04
13 Pm 0.000 0.500 0.500  -0.01
14 O 0.288 0.302 0.122  0.26

Results
Total moment   0.8 μB/f.u.
Space-group type   Imma
Raw formation energy   -1873 meV/atom

***

# NpSn2Hg

A relaxed NpSn2Hg crystal (PBE, the Alexandria database).

Unit cell a=3.295 b=3.295 c=11.209 alpha=81.55 beta=81.55 gamma=60.00
Each line ends with the local moment (μB).
Element x y z (fractional)
1 Sn 0.914 0.914 0.258  -0.03
2 Hg 0.000 0.000 0.000  0.00
3 Sn 0.086 0.086 0.742  -0.03
4 Np 0.500 0.500 0.500  3.84

Results
Total moment   4.0 μB/f.u.
Energy above the most stable polymorph in this dataset   19.5 kJ per mole of atoms
ΔH_f (0 K)   0.12 eV/atom
Space-group type   R-3m

***

# Sr2ZrFe

A relaxed Sr2ZrFe crystal (PBE, the Alexandria database).

Unit cell a=4.167 b=4.167 c=9.423 alpha=76.62 beta=76.62 gamma=60.04
Element x y z (fractional)
1 Zr 0.542 0.542 0.375
2 Sr 0.777 0.777 0.655
3 Sr 0.972 0.972 0.094
4 Fe 0.208 0.208 0.375

Results
Total moment   0.0 μB/f.u.
Energy above the most stable polymorph in this dataset   4.7 kJ per mole of atoms
ΔH_f (0 K)   0.34 eV/atom
Space-group type   Cm

***

# CrCo2B4

A relaxed CrCo2B4 crystal (PBE, the Alexandria database).

Unit cell a=2.969 b=2.935 c=6.506 alpha=103.03 beta=103.19 gamma=90.00
Element x y z (fractional)
1 Co 0.184 0.184 0.369
2 B 0.929 0.429 0.859
3 B 0.071 0.571 0.141
4 Co 0.816 0.816 0.631
5 B 0.352 0.352 0.703
6 Cr 0.500 0.000 0.000
7 B 0.648 0.648 0.297

Results
Total moment   0.0 μB/f.u.
ΔH_f (0 K)   -0.41 eV/atom
Space-group type   Immm